# Tb6Pr4Sm (PBE-GGA, relaxed)
data_Tb6Pr4Sm
_chemical_formula_sum 'Tb12 Pr8 Sm2'
_space_group_name_H-M_alt 'I -4 2 m'
_space_group_IT_number 121
_space_group_name_Hall 'I -4 2'
_cell_length_a 6.750
_cell_length_b 6.750
_cell_length_c 16.990
_cell_angle_alpha 90.00
_cell_angle_beta 90.00
_cell_angle_gamma 90.00
loop_
_atom_site_label
_atom_site_type_symbol
_atom_site_fract_x
_atom_site_fract_y
_atom_site_fract_z
_atom_site_occupancy
Tb1 Tb 0.000 0.500 0.000 1
Tb2 Tb 0.176 0.176 0.122 1
Pr1 Pr 0.191 0.191 0.324 1
Sm1 Sm 0.000 0.000 0.500 1
# * total DFT energy (no corrections): -4.397 eV/atom
# * energy above the most stable polymorph in this dataset: 0 meV/atom

***

# Tb3Pr4Sm (PBE-GGA, relaxed)
data_Tb3Pr4Sm
_chemical_formula_sum 'Tb6 Pr8 Sm2'
_space_group_name_H-M_alt 'P m n 21'
_space_group_IT_number 31
_cell_length_a 11.784
_cell_length_b 7.376
_cell_length_c 6.367
_cell_angle_alpha 90.00
_cell_angle_beta 90.00
_cell_angle_gamma 90.00
loop_
_space_group_symop_operation_xyz
'x,y,z'
'-x+1/2,-y,z+1/2'
'-x,y,z'
'x+1/2,-y,z+1/2'
loop_
_atom_site_label
_atom_site_type_symbol
_atom_site_fract_x
_atom_site_fract_y
_atom_site_fract_z
_atom_site_occupancy
Tb1 Tb 0.000 0.121 0.000 1
Tb2 Tb 0.250 0.121 0.332 1
Pr1 Pr 0.000 0.372 0.496 1
Pr2 Pr 0.000 0.629 0.001 1
Pr3 Pr 0.248 0.373 0.834 1
Sm1 Sm 0.000 0.877 0.501 1
# * total DFT energy (no corrections): -4.684 eV/atom
# * energy above the most stable polymorph in this dataset: 15 meV/atom

***

# Tb12Pr5Sm (PBE-GGA, relaxed)
data_Tb12Pr5Sm
_chemical_formula_sum 'Tb24 Pr10 Sm2'
_space_group_name_H-M_alt 'C 1 2/m 1'
_space_group_IT_number 12
_cell_length_a 11.501
_cell_length_b 17.439
_cell_length_c 6.017
_cell_angle_alpha 90.00
_cell_angle_beta 90.02
_cell_angle_gamma 90.00
loop_
_space_group_symop_operation_xyz
'x,y,z'
'-x,-y,-z'
'-x,y,-z'
'x,-y,z'
'x+1/2,y+1/2,z'
'-x+1/2,-y+1/2,-z'
'-x+1/2,y+1/2,-z'
'x+1/2,-y+1/2,z'
loop_
_atom_site_label
_atom_site_type_symbol
_atom_site_fract_x
_atom_site_fract_y
_atom_site_fract_z
_atom_site_occupancy
Tb1 Tb 0.178 0.000 0.443 1
Tb2 Tb 0.178 0.166 0.052 1
Tb3 Tb 0.178 0.333 0.447 1
Tb4 Tb 0.181 0.500 0.057 1
Pr1 Pr 0.000 0.165 0.500 1
Pr2 Pr 0.000 0.334 0.000 1
Pr3 Pr 0.000 0.500 0.500 1
Sm1 Sm 0.000 0.000 0.000 1
# * total DFT energy (no corrections): -4.580 eV/atom

***

# TbPr3Sm6 (PBE-GGA, relaxed)
data_TbPr3Sm6
_chemical_formula_sum 'Tb2 Pr6 Sm12'
_space_group_name_H-M_alt 'C 1 2/m 1'
_space_group_IT_number 12
_cell_length_a 11.633
_cell_length_b 6.844
_cell_length_c 9.221
_cell_angle_alpha 90.00
_cell_angle_beta 107.99
_cell_angle_gamma 90.00
loop_
_space_group_symop_operation_xyz
'x,y,z'
'-x,-y,-z'
'-x,y,-z'
'x,-y,z'
'x+1/2,y+1/2,z'
'-x+1/2,-y+1/2,-z'
'-x+1/2,y+1/2,-z'
'x+1/2,-y+1/2,z'
loop_
_atom_site_label
_atom_site_type_symbol
_atom_site_fract_x
_atom_site_fract_y
_atom_site_fract_z
_atom_site_occupancy
Tb1 Tb 0.000 0.000 0.000 1
Pr1 Pr 0.000 0.500 0.500 1
Pr2 Pr 0.076 0.500 0.170 1
Sm1 Sm 0.126 0.000 0.419 1
Sm2 Sm 0.187 0.259 0.803 1
# * total DFT energy (no corrections): -4.509 eV/atom
# * energy above the most stable polymorph in this dataset: 80 meV/atom

***

# Tb6Pr5Sm (PBE-GGA, relaxed)
data_Tb6Pr5Sm
_chemical_formula_sum 'Tb12 Pr10 Sm2'
_space_group_name_H-M_alt 'I m m m'
_space_group_IT_number 71
_space_group_name_Hall '-I 2 2'
_cell_length_a 5.152
_cell_length_b 10.207
_cell_length_c 15.433
_cell_angle_alpha 90.00
_cell_angle_beta 90.00
_cell_angle_gamma 90.00
loop_
_atom_site_label
_atom_site_type_symbol
_atom_site_fract_x
_atom_site_fract_y
_atom_site_fract_z
_atom_site_occupancy
Tb1 Tb 0.000 0.249 0.000 1
Tb2 Tb 0.000 0.251 0.334 1
Pr1 Pr 0.000 0.000 0.166 1
Pr2 Pr 0.000 0.000 0.500 1
Pr3 Pr 0.000 0.500 0.167 1
Sm1 Sm 0.000 0.500 0.500 1
# * total DFT energy (no corrections): -4.685 eV/atom
# * energy above the most stable polymorph in this dataset: 4 meV/atom

***

# TbPr7Sm3 (PBE-GGA, relaxed)
data_TbPr7Sm3
_chemical_formula_sum 'Tb4 Pr28 Sm12'
_space_group_name_H-M_alt 'C 1 2/c 1'
_space_group_IT_number 15
_cell_length_a 19.506
_cell_length_b 7.297
_cell_length_c 12.749
_cell_angle_alpha 90.00
_cell_angle_beta 115.97
_cell_angle_gamma 90.00
loop_
_space_group_symop_operation_xyz
'x,y,z'
'-x,-y,-z'
'-x,y,-z+1/2'
'x,-y,z+1/2'
'x+1/2,y+1/2,z'
'-x+1/2,-y+1/2,-z'
'-x+1/2,y+1/2,-z+1/2'
'x+1/2,-y+1/2,z+1/2'
loop_
_atom_site_label
_atom_site_type_symbol
_atom_site_fract_x
_atom_site_fract_y
_atom_site_fract_z
_atom_site_occupancy
Tb1 Tb 0.000 0.000 0.000 1
Pr1 Pr 0.000 0.213 0.250 1
Pr2 Pr 0.158 0.495 0.774 1
Pr3 Pr 0.167 0.247 0.028 1
Pr4 Pr 0.168 0.248 0.529 1
Sm1 Sm 0.000 0.500 0.000 1
Sm2 Sm 0.169 0.001 0.274 1
# * total DFT energy (no corrections): -4.571 eV/atom
# * energy above the most stable polymorph in this dataset: 0 meV/atom

***

# Tb3Pr2Sm4 (PBE-GGA, relaxed)
data_Tb3Pr2Sm4
_chemical_formula_sum 'Tb6 Pr4 Sm8'
_space_group_name_H-M_alt 'C 1 2/m 1'
_space_group_IT_number 12
_cell_length_a 19.971
_cell_length_b 3.556
_cell_length_c 8.766
_cell_angle_alpha 90.00
_cell_angle_beta 99.11
_cell_angle_gamma 90.00
loop_
_space_group_symop_operation_xyz
'x,y,z'
'-x,-y,-z'
'-x,y,-z'
'x,-y,z'
'x+1/2,y+1/2,z'
'-x+1/2,-y+1/2,-z'
'-x+1/2,y+1/2,-z'
'x+1/2,-y+1/2,z'
loop_
_atom_site_label
_atom_site_type_symbol
_atom_site_fract_x
_atom_site_fract_y
_atom_site_fract_z
_atom_site_occupancy
Tb1 Tb 0.000 0.000 0.000 1
Tb2 Tb 0.106 0.000 0.361 1
Pr1 Pr 0.167 0.500 0.042 1
Sm1 Sm 0.049 0.500 0.684 1
Sm2 Sm 0.220 0.500 0.649 1
# * total DFT energy (no corrections): -4.624 eV/atom
# * energy above the most stable polymorph in this dataset: 24 meV/atom

***

# Tb4PrSm7 (PBE-GGA, relaxed)
data_Tb4PrSm7
_chemical_formula_sum 'Tb4 Pr1 Sm7'
_space_group_name_H-M_alt 'P -1'
_space_group_IT_number 2
_cell_length_a 6.305
_cell_length_b 7.285
_cell_length_c 8.982
_cell_angle_alpha 90.02
_cell_angle_beta 103.52
_cell_angle_gamma 90.00
loop_
_space_group_symop_operation_xyz
'x,y,z'
'-x,-y,-z'
loop_
_atom_site_label
_atom_site_type_symbol
_atom_site_fract_x
_atom_site_fract_y
_atom_site_fract_z
_atom_site_occupancy
Tb1 Tb 0.220 0.000 0.166 1
Tb2 Tb 0.279 0.752 0.834 1
Pr1 Pr 0.000 0.500 0.500 1
Sm1 Sm 0.000 0.000 0.500 1
Sm2 Sm 0.223 0.500 0.166 1
Sm3 Sm 0.279 0.248 0.835 1
Sm4 Sm 0.500 0.248 0.499 1
# * total DFT energy (no corrections): -4.693 eV/atom
# * energy above the most stable polymorph in this dataset: 0 meV/atom

***

# TbPr7Sm4 (PBE-GGA, relaxed)
data_TbPr7Sm4
_chemical_formula_sum 'Tb2 Pr14 Sm8'
_space_group_name_H-M_alt 'C 1 2/m 1'
_space_group_IT_number 12
_cell_length_a 16.448
_cell_length_b 6.113
_cell_length_c 9.492
_cell_angle_alpha 90.00
_cell_angle_beta 115.98
_cell_angle_gamma 90.00
loop_
_space_group_symop_operation_xyz
'x,y,z'
'-x,-y,-z'
'-x,y,-z'
'x,-y,z'
'x+1/2,y+1/2,z'
'-x+1/2,-y+1/2,-z'
'-x+1/2,y+1/2,-z'
'x+1/2,-y+1/2,z'
loop_
_atom_site_label
_atom_site_type_symbol
_atom_site_fract_x
_atom_site_fract_y
_atom_site_fract_z
_atom_site_occupancy
Tb1 Tb 0.000 0.000 0.000 1
Pr1 Pr 0.000 0.500 0.000 1
Pr2 Pr 0.082 0.000 0.439 1
Pr3 Pr 0.208 0.000 0.226 1
Pr4 Pr 0.209 0.000 0.877 1
Sm1 Sm 0.073 0.500 0.698 1
Sm2 Sm 0.173 0.500 0.389 1
# * total DFT energy (no corrections): -4.542 eV/atom
# * energy above the most stable polymorph in this dataset: 192 meV/atom

***

Number 1: total moment 0.0000 μB/atom. Number 2: total moment 0.0001 μB/atom. Number 3: total moment 0.0000 μB/atom. Number 4: total moment 0.0000 μB/atom. Number 5: total moment 0.0000 μB/atom. Number 6: total moment 0.0000 μB/atom. Number 7: total moment 0.0000 μB/atom. Number 8: total moment 0.0000 μB/atom. Number 9: total moment 0.0445 μB/atom.